VASP calculation (PBE-GGA) on a geometry-optimized Na5Tl5Ag2 structure.

Lattice parameters (Å, degrees): 5.2498 5.2498 13.7671 79.01 79.01 60.01
Sites, in units of the cell vectors:
Tl1 0.8548 0.8548 0.4357
Tl2 0.1452 0.1452 0.5643
Tl3 0.6019 0.6019 0.1947
Tl4 0.3981 0.3981 0.8053
Tl5 0.0000 0.0000 0.0000
Na1 0.2258 0.2258 0.3226
Na2 0.5000 0.5000 0.5000
Na3 0.7742 0.7742 0.6774
Na4 0.3060 0.3060 0.0823
Na5 0.6940 0.6940 0.9177
Ag1 0.9273 0.9273 0.2183
Ag2 0.0727 0.0727 0.7817

Computed properties:
As for the density of states at the Fermi level: 4.5 states/eV/cell. As for the total energy: -2.08 eV per atom. For the mass density, the calculation gives 7.01 g/cm³.